Model i:
VASP calculation (PBE-GGA) on a relaxed Th4CuBi crystal.

Cell: 7.5600 7.5600 6.1932 Å, 90.00 90.00 90.00°
Space group P4/mcc (No. 124)
Symmetry-distinct sites (fractional):
Th 0.1421 0.3274 0.0000 x8
Cu 0.0000 0.0000 0.2500 x2
Bi 0.5000 0.5000 0.2500 x2

## Properties
density of states at the Fermi level	8.1	states/eV/f.u.
density	11.27	g cm⁻³


Model ii:
VASP calculation (PBE-GGA) on a relaxed Th4CuBi crystal.

Cell: 7.4690 7.4690 12.9339 Å, 90.00 90.00 90.00°
Space group I4/mcm (No. 140)
Symmetry-distinct sites (fractional):
Th 0.1568 0.3432 0.1420 x16
Cu 0.0000 0.0000 0.2500 x4
Bi 0.0000 0.0000 0.0000 x4

## Properties
density of states at the Fermi level	6.6	states/eV/f.u.
density	11.05	g cm⁻³


Which one sits at the bottom of the stability order? model ii does.


Model i:
VASP calculation (PBE-GGA) on a relaxed TiCuBi3 crystal.

Cell: 5.3648 5.3648 5.3648 Å, 90.00 90.00 90.00°
Space group Pm-3m (No. 221)
Symmetry-distinct sites (fractional):
Ti 0.0000 0.0000 0.0000 x1
Cu 0.5000 0.5000 0.5000 x1
Bi 0.0000 0.0000 0.5000 x3

## Properties
density of states at the Fermi level	4.2	states/eV/f.u.
density	7.94	g cm⁻³


Model ii:
VASP calculation (PBE-GGA) on a relaxed TiCuBi3 crystal.

Cell: 5.2082 5.2082 5.2082 Å, 90.00 90.00 90.00°
Space group Pm-3m (No. 221)
Symmetry-distinct sites (fractional):
Ti 0.0000 0.0000 0.0000 x1
Cu 0.5000 0.5000 0.5000 x1
Bi 0.0000 0.5000 0.5000 x3

## Properties
density of states at the Fermi level	7.6	states/eV/f.u.
density	8.68	g cm⁻³


Which one sits at the bottom of the stability order? model ii does.


Model i:
VASP calculation (PBE-GGA) on a relaxed TlCu2Bi2 crystal.

Cell: 7.4423 7.4423 4.1579 Å, 90.00 90.00 90.00°
Space group P4/mbm (No. 127)
Symmetry-distinct sites (fractional):
Tl 0.0000 0.0000 0.0000 x2
Cu 0.1184 0.3816 0.0000 x4
Bi 0.1656 0.6656 0.5000 x4

## Properties
density of states at the Fermi level	1.7	states/eV/f.u.
density	10.81	g cm⁻³


Model ii:
VASP calculation (PBE-GGA) on a relaxed TlCu2Bi2 crystal.

Cell: 4.4596 4.4596 12.9961 Å, 90.00 90.00 90.00°
Space group I4/mmm (No. 139)
Symmetry-distinct sites (fractional):
Tl 0.0000 0.0000 0.0000 x2
Cu 0.0000 0.5000 0.2500 x4
Bi 0.0000 0.0000 0.3698 x4

## Properties
density of states at the Fermi level	2.8	states/eV/f.u.
density	9.63	g cm⁻³


Which one sits at the bottom of the stability order? model i does.


Model i:
VASP calculation (PBE-GGA) on a relaxed TlCu2Bi2 crystal.

Cell: 4.8552 4.8552 10.8224 Å, 90.00 90.00 90.00°
Space group I4/mmm (No. 139)
Symmetry-distinct sites (fractional):
Tl 0.0000 0.0000 0.0000 x2
Cu 0.0000 0.0000 0.3854 x4
Bi 0.0000 0.5000 0.2500 x4

## Properties
density of states at the Fermi level	2.4	states/eV/f.u.
density	9.76	g cm⁻³


Model ii:
VASP calculation (PBE-GGA) on a relaxed TlCu2Bi2 crystal.

Cell: 8.7087 8.7087 3.1866 Å, 90.00 90.00 90.00°
Space group P4/mbm (No. 127)
Symmetry-distinct sites (fractional):
Tl 0.0000 0.0000 0.0000 x2
Cu 0.1487 0.3513 0.5000 x4
Bi 0.1440 0.6440 0.0000 x4

## Properties
density of states at the Fermi level	1.7	states/eV/f.u.
density	10.30	g cm⁻³


Which one sits at the bottom of the stability order? model ii does.


Model i:
VASP calculation (PBE-GGA) on a relaxed Tl2CuBi2 crystal.

Cell: 6.8685 6.8685 6.1908 Å, 90.00 90.00 90.00°
Space group P4/mbm (No. 127)
Symmetry-distinct sites (fractional):
Tl 0.1603 0.3397 0.0000 x4
Cu 0.0000 0.0000 0.0000 x2
Bi 0.1965 0.6965 0.5000 x4

## Properties
density of states at the Fermi level	2.0	states/eV/f.u.
density	10.12	g cm⁻³


Model ii:
VASP calculation (PBE-GGA) on a relaxed Tl2CuBi2 crystal.

Cell: 7.2029 7.2029 5.8497 Å, 90.00 90.00 90.00°
Space group P4/mbm (No. 127)
Symmetry-distinct sites (fractional):
Tl 0.1684 0.3316 0.0000 x4
Cu 0.0000 0.0000 0.5000 x2
Bi 0.1543 0.6543 0.5000 x4

## Properties
density of states at the Fermi level	1.9	states/eV/f.u.
density	9.74	g cm⁻³


Which one sits at the bottom of the stability order? model i does.


Model i:
VASP calculation (PBE-GGA) on a relaxed V3CuBi crystal.

Cell: 4.5652 4.5652 4.5652 Å, 90.00 90.00 90.00°
Space group Pm-3m (No. 221)
Symmetry-distinct sites (fractional):
V 0.0000 0.0000 0.5000 x3
Cu 0.0000 0.0000 0.0000 x1
Bi 0.5000 0.5000 0.5000 x1

## Properties
density of states at the Fermi level	10.0	states/eV/f.u.
density	7.42	g cm⁻³


Model ii:
VASP calculation (PBE-GGA) on a relaxed V3CuBi crystal.

Cell: 5.2306 5.2306 5.2306 Å, 90.00 90.00 90.00°
Space group Pm-3m (No. 221)
Symmetry-distinct sites (fractional):
V 0.0000 0.0000 0.5000 x3
Cu 0.5000 0.5000 0.5000 x1
Bi 0.0000 0.0000 0.0000 x1

## Properties
density of states at the Fermi level	8.3	states/eV/f.u.
density	4.94	g cm⁻³


Which one sits at the bottom of the stability order? model ii does.


Model i:
VASP calculation (PBE-GGA) on a relaxed VCuBi crystal.

Cell: 4.6171 4.5571 11.0878 Å, 90.00 90.94 90.00°
Space group C2/m (No. 12)
Symmetry-distinct sites (fractional):
V 0.2480 0.0000 0.4465 x4
Cu 0.2432 0.5000 0.3193 x4
Bi 0.2345 0.0000 0.1595 x4

## Properties
density of states at the Fermi level	3.3	states/eV/f.u.
density	9.21	g cm⁻³


Model ii:
VASP calculation (PBE-GGA) on a relaxed VCuBi crystal.

Cell: 3.9536 3.9536 7.0288 Å, 90.00 90.00 90.00°
Space group P4/nmm (No. 129, origin choice 2)
Symmetry-distinct sites (fractional):
V 0.2500 0.7500 0.0000 x2
Cu 0.2500 0.2500 0.2452 x2
Bi 0.2500 0.2500 0.6834 x2

## Properties
density of states at the Fermi level	2.3	states/eV/f.u.
density	9.78	g cm⁻³


Which one sits at the bottom of the stability order? model i does.


Model i:
VASP calculation (PBE-GGA) on a relaxed V2CuBi2 crystal.

Cell: 4.6227 4.6227 10.5920 Å, 90.00 90.00 90.00°
Space group I4/mmm (No. 139)
Symmetry-distinct sites (fractional):
V 0.0000 0.0000 0.0872 x4
Cu 0.0000 0.0000 0.5000 x2
Bi 0.0000 0.5000 0.2500 x4

## Properties
density of states at the Fermi level	4.9	states/eV/f.u.
density	8.56	g cm⁻³


Model ii:
VASP calculation (PBE-GGA) on a relaxed V2CuBi2 crystal.

Cell: 6.9684 6.9684 4.0090 Å, 90.00 90.00 90.00°
Space group P4/mbm (No. 127)
Symmetry-distinct sites (fractional):
V 0.1284 0.3716 0.0000 x4
Cu 0.0000 0.0000 0.0000 x2
Bi 0.1727 0.6727 0.5000 x4

## Properties
density of states at the Fermi level	5.8	states/eV/f.u.
density	9.95	g cm⁻³


Which one sits at the bottom of the stability order? model i does.


Model i:
VASP calculation (PBE-GGA) on a relaxed CuBi2W crystal.

Cell: 6.3338 6.3338 12.1964 Å, 90.00 90.00 90.00°
Space group I-42d (No. 122)
Symmetry-distinct sites (fractional):
Cu 0.0000 0.0000 0.0000 x4
Bi 0.2447 0.2500 0.1250 x8
W 0.0000 0.0000 0.5000 x4

## Properties
density of states at the Fermi level	2.0	states/eV/f.u.
density	9.03	g cm⁻³


Model ii:
VASP calculation (PBE-GGA) on a relaxed CuBi2W crystal.

Cell: 7.0126 7.0126 7.0126 Å, 90.00 90.00 90.00°
Space group Fm-3m (No. 225)
Symmetry-distinct sites (fractional):
Cu 0.0000 0.0000 0.0000 x4
Bi 0.2500 0.2500 0.2500 x8
W 0.0000 0.0000 0.5000 x4

## Properties
density of states at the Fermi level	3.2	states/eV/f.u.
density	12.82	g cm⁻³


Which one sits at the bottom of the stability order? model i does.


Model i:
VASP calculation (PBE-GGA) on a relaxed YCu2Bi2 crystal.

Cell: 4.8509 4.8509 10.0371 Å, 90.00 90.00 90.00°
Space group I4/mmm (No. 139)
Symmetry-distinct sites (fractional):
Y 0.0000 0.0000 0.0000 x2
Cu 0.0000 0.0000 0.3842 x4
Bi 0.0000 0.5000 0.2500 x4

## Properties
density of states at the Fermi level	1.9	states/eV/f.u.
density	8.91	g cm⁻³


Model ii:
VASP calculation (PBE-GGA) on a relaxed YCu2Bi2 crystal.

Cell: 7.7196 7.7196 3.7319 Å, 90.00 90.00 90.00°
Space group P4/mbm (No. 127)
Symmetry-distinct sites (fractional):
Y 0.0000 0.0000 0.0000 x2
Cu 0.1127 0.3873 0.0000 x4
Bi 0.1823 0.6823 0.5000 x4

## Properties
density of states at the Fermi level	2.2	states/eV/f.u.
density	9.47	g cm⁻³


Model iii:
VASP calculation (PBE-GGA) on a relaxed YCu2Bi2 crystal.

Cell: 8.2054 8.2054 3.4336 Å, 90.00 90.00 90.00°
Space group P4/mbm (No. 127)
Symmetry-distinct sites (fractional):
Y 0.0000 0.0000 0.0000 x2
Cu 0.1462 0.3538 0.5000 x4
Bi 0.1505 0.6505 0.0000 x4

## Properties
density of states at the Fermi level	2.5	states/eV/f.u.
density	9.11	g cm⁻³


Model iv:
VASP calculation (PBE-GGA) on a relaxed YCu2Bi2 crystal.

Cell: 4.0133 4.0133 14.5140 Å, 90.00 90.00 90.00°
Space group I4/mmm (No. 139)
Symmetry-distinct sites (fractional):
Y 0.0000 0.0000 0.0000 x2
Cu 0.0000 0.5000 0.2500 x4
Bi 0.0000 0.0000 0.3816 x4

## Properties
density of states at the Fermi level	1.4	states/eV/f.u.
density	9.01	g cm⁻³


Which one sits at the bottom of the stability order? model iii does.


Model i:
VASP calculation (PBE-GGA) on a relaxed Y3CuBi crystal.

Cell: 5.3107 5.3107 5.3107 Å, 90.00 90.00 90.00°
Space group Pm-3m (No. 221)
Symmetry-distinct sites (fractional):
Y 0.0000 0.0000 0.5000 x3
Cu 0.0000 0.0000 0.0000 x1
Bi 0.5000 0.5000 0.5000 x1

## Properties
density of states at the Fermi level	5.3	states/eV/f.u.
density	5.98	g cm⁻³


Model ii:
VASP calculation (PBE-GGA) on a relaxed Y3CuBi crystal.

Cell: 7.7030 14.4174 5.0682 Å, 90.00 90.00 90.00°
Space group Cmmm (No. 65)
Symmetry-distinct sites (fractional):
Y 0.0000 0.1289 0.0000 x4
Y 0.1946 0.5000 0.5000 x4
Y 0.2500 0.2500 0.5000 x4
Cu 0.0000 0.0889 0.5000 x4
Bi 0.0000 0.3594 0.0000 x4

## Properties
density of states at the Fermi level	4.9	states/eV/f.u.
density	6.36	g cm⁻³


Which one sits at the bottom of the stability order? model i does.